DFT (GGA-PBE) results for an optimized crystal structure of Ho3ErZn2.

```
6
Lattice="-1.6076 -0.9728 3.0089 -2.9845 -0.6492 -1.8045 3.5553 -11.3897 -1.7829" Properties=species:S:1:pos:R:3 pbc="T T T"
Ho 0.0000 0.0000 0.0000
Ho 2.5175 -8.0648 -1.2624
Ho 1.0379 -3.3248 -0.5205
Er -0.5184 -6.5058 -0.2892
Zn 0.7419 -10.5432 -0.9212
Zn -1.7787 -2.4685 0.3428
```

## Properties
N(E_F)   6.22 states/eV per cell
V   152 Å³/cell
E_form   -0.223 eV/atom
Space group   P4/mmm
Energy above the most stable polymorph in this dataset   0.012 eV/atom
Crystal system   tetragonal

DFT (GGA-PBE) results for an optimized crystal structure of Ho2ErZn.

```
4
Lattice="-2.6574 0.3950 -2.3576 -3.2667 -1.2321 0.7661 -4.3592 8.6435 3.6522" Properties=species:S:1:pos:R:3 pbc="T T T"
Ho -3.8382 6.6939 2.7383
Ho -2.4947 1.6669 0.3817
Er -5.1399 3.8966 1.0273
Zn -3.9522 -0.5478 -1.0562
```

## Properties
N(E_F)   5.23 states/eV per cell
V   112 Å³/cell
E_form   -0.060 eV/atom
Space group   R3m
Energy above the most stable polymorph in this dataset   0.100 eV/atom
Crystal system   trigonal

> What is the formula in the first record?

Ho3ErZn2

> Which value of E_form does entry 2 give?

-0.060 eV/atom

> Among the records above, which one has the highest E_form?

Ho2ErZn